Record 1
Entry from the Alexandria database: a geometry-optimized Y3PdO6 structure (GGA-PBE).

Formation energy from raw total energies (meV/atom): -2662
Magnetization (μB/atom): 0.1017
Fermi-level density of states (states/eV/cell): 3.5

Cell and atoms, written as CIF:
```
data_Y3PdO6
_symmetry_space_group_name_H-M 'C m c 21'
_symmetry_Int_Tables_number 36
_symmetry_space_group_name_Hall 'C 2c -2'
_cell_length_a 9.008
_cell_length_b 11.092
_cell_length_c 5.537
_cell_angle_alpha 90.00
_cell_angle_beta 90.00
_cell_angle_gamma 90.00
loop_
_atom_site_label
_atom_site_type_symbol
_atom_site_fract_x
_atom_site_fract_y
_atom_site_fract_z
Y1 Y 0.000 0.103 0.000
Y2 Y 0.208 0.383 0.948
Pd1 Pd 0.000 0.363 0.441
O1 O 0.000 0.279 0.762
O2 O 0.000 0.476 0.135
O3 O 0.148 0.245 0.239
O4 O 0.159 0.015 0.722
```

Record 2
Entry from the Alexandria database: a geometry-optimized KCuRuBr6 structure (GGA-PBE).

Formation energy from raw total energies (meV/atom): -575
Magnetization (μB/atom): 0.2288
Fermi-level density of states (states/eV/cell): 5.6

Cell and atoms, written as CIF:
```
data_KCuRuBr6
_symmetry_space_group_name_H-M 'P 3 1 2'
_symmetry_Int_Tables_number 149
_symmetry_space_group_name_Hall 'P 3 2'
_cell_length_a 6.7093
_cell_length_b 6.7093
_cell_length_c 7.3936
_cell_angle_alpha 90.00
_cell_angle_beta 90.00
_cell_angle_gamma 120.00
loop_
_atom_site_label
_atom_site_type_symbol
_atom_site_fract_x
_atom_site_fract_y
_atom_site_fract_z
K1 K 0.0000 0.0000 0.0000
Cu1 Cu 0.6667 0.3333 0.5000
Ru1 Ru 0.3333 0.6667 0.5000
Br1 Br 0.0123 0.3720 0.6928
```

> Among the records above, which one has the lowest magnetization?

Y3PdO6